# 1
# HoAg4B3Pt12

A relaxed structure of HoAg4B3Pt12 (GGA-PBE, the Alexandria database).

The density of states at the Fermi level is 0.363 states/eV/atom. The value obtained for the uncorrected energy is -5.216 eV per atom. For the total moment, the calculation gives 0.00 μB/f.u.

The space group is Im-3m (No. 229) and the conventional cell measures 8.832, 8.832 and 8.832 Å, with angles of 90.00, 90.00 and 90.00 degrees. The inequivalent atoms are Ho at (0.000, 0.000, 0.000), Ag at (0.250, 0.250, 0.250), B at (0.000, 0.000, 0.500), Pt at (0.000, 0.000, 0.281) and Pt at (0.000, 0.250, 0.500).

# 2
# Ho2AgB2Rh5

A relaxed structure of Ho2AgB2Rh5 (GGA-PBE, the Alexandria database).

The density of states at the Fermi level is 0.404 states/eV/atom. The value obtained for the uncorrected energy is -6.868 eV per atom. For the total moment, the calculation gives 0.00 μB/f.u.

The space group is P4/mbm (No. 127) and the conventional cell measures 9.588, 9.588 and 3.221 Å, with angles of 90.00, 90.00 and 90.00 degrees. The inequivalent atoms are Ho at (0.176, 0.324, 0.000), Ag at (0.000, 0.000, 0.000), B at (0.123, 0.623, 0.000), Rh at (0.000, 0.500, 0.500) and Rh at (0.071, 0.774, 0.500).

# 3
# AgBI2

A relaxed structure of AgBI2 (GGA-PBE, the Alexandria database).

The density of states at the Fermi level is 0.005 states/eV/atom. The value obtained for the uncorrected energy is -2.090 eV per atom. For the total moment, the calculation gives 0.00 μB/f.u. For the formation energy from raw total energies, the calculation gives 1.0671 eV/atom.

The space group is Fm-3m (No. 225) and the conventional cell measures 7.463, 7.463 and 7.463 Å, with angles of 90.00, 90.00 and 90.00 degrees. The inequivalent atoms are Ag at (0.000, 0.000, 0.000), B at (0.000, 0.000, 0.500) and I at (0.250, 0.250, 0.250).

# 4
# AgB2I8

A relaxed structure of AgB2I8 (GGA-PBE, the Alexandria database).

The density of states at the Fermi level is 0.498 states/eV/atom. The value obtained for the uncorrected energy is -2.623 eV per atom. For the total moment, the calculation gives 0.00 μB/f.u. For the formation energy from raw total energies, the calculation gives -0.0223 eV/atom.

The space group is C2/m (No. 12) and the conventional cell measures 12.540, 10.628 and 7.041 Å, with angles of 90.00, 90.25 and 90.00 degrees. The inequivalent atoms are Ag at (0.000, 0.000, 0.000), B at (0.221, 0.000, 0.676), I at (0.116, 0.500, 0.202), I at (0.124, 0.169, 0.785) and I at (0.224, 0.000, 0.360).

# 5
# AgBI4

A relaxed structure of AgBI4 (GGA-PBE, the Alexandria database).

The density of states at the Fermi level is 0.153 states/eV/atom. The value obtained for the uncorrected energy is -2.236 eV per atom. For the total moment, the calculation gives 0.00 μB/f.u. For the formation energy from raw total energies, the calculation gives 0.3851 eV/atom.

The space group is P4_2/mmc (No. 131) and the conventional cell measures 7.968, 7.968 and 9.722 Å, with angles of 90.00, 90.00 and 90.00 degrees. The inequivalent atoms are Ag at (0.000, 0.000, 0.000), B at (0.000, 0.500, 0.000) and I at (0.218, 0.289, 0.000).

# 6
# Ag2B2I7

A relaxed structure of Ag2B2I7 (GGA-PBE, the Alexandria database).

The density of states at the Fermi level is 0.058 states/eV/atom. The value obtained for the uncorrected energy is -2.624 eV per atom. For the total moment, the calculation gives 1.02 μB/f.u. For the formation energy from raw total energies, the calculation gives 0.0946 eV/atom.

The space group is C2/c (No. 15) and the conventional cell measures 10.352, 12.039 and 14.507 Å, with angles of 90.00, 108.48 and 90.00 degrees. The inequivalent atoms are Ag at (0.028, 0.204, 0.156), B at (0.211, 0.497, 0.706), I at (0.000, 0.476, 0.750), I at (0.119, 0.026, 0.656), I at (0.181, 0.363, 0.097) and I at (0.247, 0.336, 0.633).

# 7
# AgB3I

A relaxed structure of AgB3I (GGA-PBE, the Alexandria database).

The density of states at the Fermi level is 0.551 states/eV/atom. The value obtained for the uncorrected energy is -2.259 eV per atom. For the total moment, the calculation gives 0.00 μB/f.u. For the formation energy from raw total energies, the calculation gives 2.6279 eV/atom.

The space group is Pm-3m (No. 221) and the conventional cell measures 4.455, 4.455 and 4.455 Å, with angles of 90.00, 90.00 and 90.00 degrees. The inequivalent atoms are Ag at (0.000, 0.000, 0.000), B at (0.000, 0.500, 0.500) and I at (0.500, 0.500, 0.500).

# 8
# Ag2BI

A relaxed structure of Ag2BI (GGA-PBE, the Alexandria database).

The density of states at the Fermi level is 0.540 states/eV/atom. The value obtained for the uncorrected energy is -2.227 eV per atom. For the total moment, the calculation gives 0.00 μB/f.u. For the formation energy from raw total energies, the calculation gives 1.2559 eV/atom.

The space group is Fm-3m (No. 225) and the conventional cell measures 6.925, 6.925 and 6.925 Å, with angles of 90.00, 90.00 and 90.00 degrees. The inequivalent atoms are Ag at (0.250, 0.250, 0.250), B at (0.000, 0.000, 0.000) and I at (0.000, 0.000, 0.500).

# 9
# AgB3I

A relaxed structure of AgB3I (GGA-PBE, the Alexandria database).

The density of states at the Fermi level is 0.456 states/eV/atom. The value obtained for the uncorrected energy is -2.930 eV per atom. For the total moment, the calculation gives 0.00 μB/f.u. For the formation energy from raw total energies, the calculation gives 1.9567 eV/atom.

The space group is Pm-3m (No. 221) and the conventional cell measures 4.420, 4.420 and 4.420 Å, with angles of 90.00, 90.00 and 90.00 degrees. The inequivalent atoms are Ag at (0.000, 0.000, 0.000), B at (0.000, 0.000, 0.500) and I at (0.500, 0.500, 0.500).

# 10
# Ag4B2I

A relaxed structure of Ag4B2I (GGA-PBE, the Alexandria database).

The density of states at the Fermi level is 0.387 states/eV/atom. The value obtained for the uncorrected energy is -2.909 eV per atom. For the total moment, the calculation gives 0.00 μB/f.u. For the formation energy from raw total energies, the calculation gives 0.8493 eV/atom.

The space group is I4/mmm (No. 139) and the conventional cell measures 5.436, 5.436 and 11.443 Å, with angles of 90.00, 90.00 and 90.00 degrees. The inequivalent atoms are Ag at (0.000, 0.000, 0.249), Ag at (0.000, 0.500, 0.000), B at (0.000, 0.000, 0.067) and I at (0.000, 0.000, 0.500).

# 11
# Ag2BI

A relaxed structure of Ag2BI (GGA-PBE, the Alexandria database).

The density of states at the Fermi level is 0.128 states/eV/atom. The value obtained for the uncorrected energy is -2.750 eV per atom. For the total moment, the calculation gives 0.00 μB/f.u. For the formation energy from raw total energies, the calculation gives 0.7320 eV/atom.

The space group is I-42d (No. 122) and the conventional cell measures 6.512, 6.512 and 8.552 Å, with angles of 90.00, 90.00 and 90.00 degrees. The inequivalent atoms are Ag at (0.153, 0.250, 0.125), B at (0.000, 0.000, 0.000) and I at (0.000, 0.000, 0.500).

# 12
# AgB2I8

A relaxed structure of AgB2I8 (GGA-PBE, the Alexandria database).

The density of states at the Fermi level is 0.850 states/eV/atom. The value obtained for the uncorrected energy is -2.614 eV per atom. For the total moment, the calculation gives 0.00 μB/f.u. For the formation energy from raw total energies, the calculation gives -0.0135 eV/atom.

The space group is C2/c (No. 15) and the conventional cell measures 19.770, 10.006 and 12.796 Å, with angles of 90.00, 129.37 and 90.00 degrees. The inequivalent atoms are Ag at (0.000, 0.026, 0.250), B at (0.089, 0.238, 0.550), I at (0.051, 0.251, 0.141), I at (0.098, 0.209, 0.734), I at (0.147, 0.056, 0.524) and I at (0.165, 0.420, 0.583).

# 13
# AgBI2

A relaxed structure of AgBI2 (GGA-PBE, the Alexandria database).

The density of states at the Fermi level is 0.000 states/eV/atom. The value obtained for the uncorrected energy is -2.392 eV per atom. For the total moment, the calculation gives 0.00 μB/f.u. For the formation energy from raw total energies, the calculation gives 0.7656 eV/atom.

The space group is I-42d (No. 122) and the conventional cell measures 6.249, 6.249 and 13.891 Å, with angles of 90.00, 90.00 and 90.00 degrees. The inequivalent atoms are Ag at (0.000, 0.000, 0.000), B at (0.000, 0.000, 0.500) and I at (0.229, 0.250, 0.625).

# 14
# LiAg2BI

A relaxed structure of LiAg2BI (GGA-PBE, the Alexandria database).

The density of states at the Fermi level is 0.493 states/eV/atom. The value obtained for the uncorrected energy is -2.010 eV per atom. For the total moment, the calculation gives 0.00 μB/f.u. For the formation energy from raw total energies, the calculation gives 1.1585 eV/atom.

The space group is P4/mmm (No. 123) and the conventional cell measures 4.804, 4.804 and 5.050 Å, with angles of 90.00, 90.00 and 90.00 degrees. The inequivalent atoms are Li at (0.000, 0.000, 0.000), Ag at (0.000, 0.500, 0.000), B at (0.500, 0.500, 0.500) and I at (0.000, 0.000, 0.500).

# 15
# MgAgB2I

A relaxed structure of MgAgB2I (GGA-PBE, the Alexandria database).

The density of states at the Fermi level is 0.579 states/eV/atom. The value obtained for the uncorrected energy is -1.891 eV per atom. For the total moment, the calculation gives 0.00 μB/f.u. For the formation energy from raw total energies, the calculation gives 1.9796 eV/atom.

The space group is P4/mmm (No. 123) and the conventional cell measures 4.584, 4.584 and 5.587 Å, with angles of 90.00, 90.00 and 90.00 degrees. The inequivalent atoms are Mg at (0.000, 0.000, 0.000), Ag at (0.500, 0.500, 0.000), B at (0.000, 0.500, 0.500) and I at (0.000, 0.000, 0.500).

# 16
# AgBIN2

A relaxed structure of AgBIN2 (GGA-PBE, the Alexandria database).

The density of states at the Fermi level is 0.429 states/eV/atom. The value obtained for the uncorrected energy is -3.153 eV per atom. For the total moment, the calculation gives 3.54 μB/f.u. For the formation energy from raw total energies, the calculation gives 2.3931 eV/atom.

The space group is P4/mmm (No. 123) and the conventional cell measures 4.029, 4.029 and 8.231 Å, with angles of 90.00, 90.00 and 90.00 degrees. The inequivalent atoms are Ag at (0.000, 0.000, 0.000), B at (0.500, 0.500, 0.500), I at (0.000, 0.000, 0.500) and N at (0.000, 0.500, 0.000).

# 17
# AgBI2N

A relaxed structure of AgBI2N (GGA-PBE, the Alexandria database).

The density of states at the Fermi level is 0.398 states/eV/atom. The value obtained for the uncorrected energy is -2.496 eV per atom. For the total moment, the calculation gives 2.10 μB/f.u. For the formation energy from raw total energies, the calculation gives 1.6949 eV/atom.

The space group is P4/mmm (No. 123) and the conventional cell measures 5.798, 5.798 and 4.116 Å, with angles of 90.00, 90.00 and 90.00 degrees. The inequivalent atoms are Ag at (0.000, 0.000, 0.000), B at (0.500, 0.500, 0.500), I at (0.000, 0.500, 0.000) and N at (0.000, 0.000, 0.500).

# 18
# AgBIN2

A relaxed structure of AgBIN2 (GGA-PBE, the Alexandria database).

The density of states at the Fermi level is 0.667 states/eV/atom. The value obtained for the uncorrected energy is -3.884 eV per atom. For the total moment, the calculation gives 0.59 μB/f.u. For the formation energy from raw total energies, the calculation gives 1.6622 eV/atom.

The space group is P4/mmm (No. 123) and the conventional cell measures 3.572, 3.572 and 7.304 Å, with angles of 90.00, 90.00 and 90.00 degrees. The inequivalent atoms are Ag at (0.000, 0.000, 0.000), B at (0.500, 0.500, 0.500), I at (0.500, 0.500, 0.000) and N at (0.000, 0.500, 0.500).

# 19
# AgBI2N

A relaxed structure of AgBI2N (GGA-PBE, the Alexandria database).

The density of states at the Fermi level is 0.816 states/eV/atom. The value obtained for the uncorrected energy is -4.012 eV per atom. For the total moment, the calculation gives 0.00 μB/f.u. For the formation energy from raw total energies, the calculation gives 0.1790 eV/atom.

The space group is P4/mmm (No. 123) and the conventional cell measures 6.574, 6.574 and 2.794 Å, with angles of 90.00, 90.00 and 90.00 degrees. The inequivalent atoms are Ag at (0.000, 0.000, 0.000), B at (0.500, 0.500, 0.500), I at (0.000, 0.500, 0.500) and N at (0.500, 0.500, 0.000).

# 20
# AgBIO2

A relaxed structure of AgBIO2 (GGA-PBE, the Alexandria database).

The density of states at the Fermi level is 0.688 states/eV/atom. The value obtained for the uncorrected energy is -3.789 eV per atom. For the total moment, the calculation gives 0.00 μB/f.u. For the formation energy from raw total energies, the calculation gives 0.4096 eV/atom.

The space group is P4/mmm (No. 123) and the conventional cell measures 3.594, 3.594 and 6.165 Å, with angles of 90.00, 90.00 and 90.00 degrees. The inequivalent atoms are Ag at (0.000, 0.000, 0.000), B at (0.500, 0.500, 0.500), I at (0.500, 0.500, 0.000) and O at (0.000, 0.500, 0.500).